# LiUAgTe3

An optimized crystal structure of LiUAgTe3 (GGA-PBE, OQMD via LeMat-Bulk).

Calculated values
Calculated volume ... 29.44 A^3/atom
VASP energy ... -4.82 eV/atom
Crystal system ... orthorhombic
M_tot ... 4.00 Bohr magnetons per cell

Cell lengths 7.6916, 7.6916, 11.2142 Å; angles 90.00, 90.00, 147.83 degrees
Fractional positions:
Ag 0.4742 0.5258 0.7500
Li 0.1732 0.8268 0.2500
Te 0.3558 0.6442 0.9416
U 0.0000 0.0000 0.0000
Te 0.6442 0.3558 0.0584
Te 0.0946 0.9054 0.7500
Li 0.8268 0.1732 0.7500
Ag 0.5258 0.4742 0.2500
Te 0.9054 0.0946 0.2500
U 0.0000 0.0000 0.5000
Te 0.6442 0.3558 0.4416
Te 0.3558 0.6442 0.5584



# TaMoS4

An optimized crystal structure of TaMoS4 (GGA-PBE, OQMD via LeMat-Bulk).

Calculated values
Calculated volume ... 30.52 A^3/atom
VASP energy ... -7.48 eV/atom
Crystal system ... orthorhombic
M_tot ... 0.01 Bohr magnetons per cell

Cell lengths 19.8771, 3.2615, 3.2615 Å; angles 60.00, 90.00, 90.00 degrees
Fractional positions:
S 0.0775 0.3358 0.3358
S 0.4202 0.8357 0.8357
S 0.5798 0.8357 0.8357
S 0.9225 0.3358 0.3358
Mo 0.0000 0.0025 0.0025
Ta 0.5000 0.5024 0.5024



# LaDyAg2Sn2

An optimized crystal structure of LaDyAg2Sn2 (GGA-PBE, OQMD via LeMat-Bulk).

Calculated values
Calculated volume ... 25.01 A^3/atom
VASP energy ... -4.49 eV/atom
Crystal system ... trigonal
M_tot ... 0.00 Bohr magnetons per cell

Cell lengths 4.7784, 4.7784, 7.5881 Å; angles 90.00, 90.00, 120.00 degrees
Fractional positions:
Ag 0.6667 0.3333 0.4784
Sn 0.6667 0.3333 0.0269
Ag 0.3333 0.6667 0.9397
Sn 0.3333 0.6667 0.5427
La 0.0000 0.0000 0.2551
Dy 0.0000 0.0000 0.7572



# NiSn2B

An optimized crystal structure of NiSn2B (GGA-PBE, OQMD via LeMat-Bulk).

Calculated values
Calculated volume ... 17.87 A^3/atom
VASP energy ... -4.02 eV/atom
Crystal system ... cubic
M_tot ... 0.01 Bohr magnetons per cell

Cell lengths 4.6582, 4.6582, 4.6582 Å; angles 60.00, 60.00, 60.00 degrees
Fractional positions:
B 0.7500 0.7500 0.7500
Sn 0.5000 0.5000 0.5000
Ni 0.0000 0.0000 0.0000
Sn 0.2500 0.2500 0.2500



# Zr2Mo

An optimized crystal structure of Zr2Mo (GGA-PBE, OQMD via LeMat-Bulk).

Calculated values
Calculated volume ... 20.19 A^3/atom
VASP energy ... -9.24 eV/atom
Formation enthalpy at 0 K ... 73 meV per atom
Crystal system ... monoclinic
M_tot ... 0.03 Bohr magnetons per cell

Cell lengths 14.0418, 7.3112, 4.9186 Å; angles 90.00, 90.00, 73.66 degrees
Fractional positions:
Zr 0.0765 0.5476 0.0000
Zr 0.0365 0.2449 0.5000
Mo 0.4430 0.1892 0.5000
Zr 0.4027 0.9216 0.0000
Zr 0.5830 0.0454 0.0000
Zr 0.2551 0.6841 0.0000
Zr 0.9070 0.3465 0.0000
Mo 0.7514 0.1719 0.0000
Zr 0.5242 0.7626 0.5000
Zr 0.4783 0.4653 0.0000
Mo 0.9832 0.9413 0.0000
Zr 0.7162 0.8956 0.5000
Mo 0.8289 0.7979 0.0000
Mo 0.3221 0.2995 0.0000
Mo 0.8723 0.0618 0.5000
Mo 0.2113 0.4197 0.5000
Zr 0.6704 0.5985 0.0000
Zr 0.2874 0.0146 0.5000
Zr 0.6115 0.3155 0.5000
Zr 0.7917 0.4396 0.5000
Mo 0.3656 0.5631 0.5000
Zr 0.9394 0.6772 0.5000
Zr 0.1179 0.8136 0.5000
Zr 0.1580 0.1163 0.0000



# CdSnTeO

An optimized crystal structure of CdSnTeO (GGA-PBE, OQMD via LeMat-Bulk).

Calculated values
Calculated volume ... 28.73 A^3/atom
VASP energy ... -3.66 eV/atom
Crystal system ... tetragonal

Cell lengths 5.5744, 5.5744, 7.3957 Å; angles 90.00, 90.00, 90.00 degrees
Fractional positions:
Sn 0.7500 0.7500 0.1980
O 0.7500 0.7500 0.9378
Te 0.2500 0.7500 0.5000
Te 0.7500 0.2500 0.5000
Cd 0.2500 0.2500 0.3479
Cd 0.7500 0.7500 0.6521
Sn 0.2500 0.2500 0.8020
O 0.2500 0.2500 0.0622



# PmHgPO

An optimized crystal structure of PmHgPO (GGA-PBE, OQMD via LeMat-Bulk).

Calculated values
Calculated volume ... 19.24 A^3/atom
VASP energy ... -5.35 eV/atom
Crystal system ... tetragonal
M_tot ... 0.00 Bohr magnetons per cell

Cell lengths 4.1417, 4.1417, 8.9744 Å; angles 90.00, 90.00, 90.00 degrees
Fractional positions:
P 0.2500 0.2500 0.7003
Pm 0.7500 0.7500 0.8765
O 0.2500 0.7500 0.0000
P 0.7500 0.7500 0.2997
Pm 0.2500 0.2500 0.1235
Hg 0.2500 0.7500 0.5000
O 0.7500 0.2500 0.0000
Hg 0.7500 0.2500 0.5000



# KCuSnTeSe2

An optimized crystal structure of KCuSnTeSe2 (GGA-PBE, OQMD via LeMat-Bulk).

Calculated values
Calculated volume ... 28.89 A^3/atom
VASP energy ... -3.63 eV/atom
Crystal system ... orthorhombic

Cell lengths 8.0470, 8.0470, 11.3033 Å; angles 90.00, 90.00, 151.73 degrees
Fractional positions:
K 0.7583 0.2417 0.7500
Sn 0.0000 0.0000 0.5000
Se 0.6197 0.3803 0.0609
Se 0.6197 0.3803 0.4391
Cu 0.5476 0.4524 0.2500
Sn 0.0000 0.0000 0.0000
Te 0.9330 0.0670 0.2500
Te 0.0670 0.9330 0.7500
Se 0.3803 0.6197 0.5609
Se 0.3803 0.6197 0.9391
Cu 0.4524 0.5476 0.7500
K 0.2417 0.7583 0.2500